This record from the Alexandria database describes a relaxed GaSi2S crystal. The functional is GGA-PBE.

Magnetization   0.00 Bohr magnetons per cell
ρ   3.32 g/cm³
Total energy   -0.3376 Ry/atom
Offset from the most stable computed form   0.055 eV per formula unit

Cell: 3.787 3.787 7.006 Å, 109.78 109.78 58.54°
Sites, in units of the cell vectors:
Ga 0.000 0.000 0.000
Si 0.290 0.290 0.695
Si 0.903 0.903 0.553
S 0.766 0.766 0.205

=====

This record from the Alexandria database describes a relaxed GaSi2S crystal. The functional is GGA-PBE.

Magnetization   0.00 Bohr magnetons per cell
ρ   3.21 g/cm³
Total energy   -0.3342 Ry/atom
Offset from the most stable computed form   0.238 eV per formula unit

Cell: 3.847 3.847 5.997 Å, 100.89 100.89 71.45°
Sites, in units of the cell vectors:
Ga 0.000 0.000 0.000
Si 0.525 0.525 0.499
Si 0.913 0.913 0.578
S 0.412 0.412 0.115

=====

This record from the Alexandria database describes a relaxed GaSiS2 crystal. The functional is GGA-PBE.

Magnetization   0.00 Bohr magnetons per cell
ρ   3.34 g/cm³
Total energy   -0.3292 Ry/atom

Cell: 8.717 8.717 8.717 Å, 21.87 21.87 21.87°
Sites, in units of the cell vectors:
Ga 0.000 0.000 0.000
Si 0.500 0.500 0.500
S 0.115 0.115 0.115
S 0.885 0.885 0.885

=====

This record from the Alexandria database describes a relaxed GaSiS3 crystal. The functional is GGA-PBE.

Magnetization   0.00 Bohr magnetons per cell
ρ   3.41 g/cm³
Total energy   -0.3021 Ry/atom
Offset from the most stable computed form   3.112 eV per formula unit

Cell: 4.553 4.553 4.553 Å, 90.00 90.00 90.00°
Sites, in units of the cell vectors:
Ga 0.000 0.000 0.000
Si 0.500 0.500 0.500
S 0.000 0.500 0.500
S 0.500 0.000 0.500
S 0.500 0.500 0.000

=====

Going through the records in order, we get Fermi-level density of states values of 0.61, 0.72, 0.92, 1.89 states/eV per cell.